Record 1
The following is a PBE calculation of an optimized crystal structure of CrSiBr2, from Alexandria.

For the calculated density, the calculation gives 4.32 g cm⁻³. The polymorph energy (0 for the lowest one) comes out at 448 meV/atom. As for the crystal system: monoclinic. As for the total magnetization: 3.9 Bohr magnetons per cell. The value obtained for the uncorrected formation energy is 0.37 eV/atom.

Cell: 4.276 3.489 6.184 Å, 90.00 90.15 90.00°
Space group P2/m (No. 10)
Symmetry-distinct sites (fractional):
Cr (0.000, 0.000, 0.000) [1 per cell]
Si (0.000, 0.500, 0.500) [1 per cell]
Br (0.500, 0.000, 0.500) [1 per cell]
Br (0.500, 0.500, 0.000) [1 per cell]

Record 2
The following is a PBE calculation of an optimized crystal structure of CrSi2Br, from Alexandria.

For the calculated density, the calculation gives 4.07 g cm⁻³. The polymorph energy (0 for the lowest one) comes out at 456 meV/atom. As for the crystal system: tetragonal. As for the total magnetization: 3.9 Bohr magnetons per cell. The value obtained for the uncorrected formation energy is 0.56 eV/atom.

Cell: 3.628 3.628 5.831 Å, 90.00 90.00 90.00°
Space group P4/mmm (No. 123)
Symmetry-distinct sites (fractional):
Cr (0.000, 0.000, 0.000) [1 per cell]
Si (0.000, 0.500, 0.500) [2 per cell]
Br (0.500, 0.500, 0.000) [1 per cell]

Record 3
The following is a PBE calculation of an optimized crystal structure of CrSi2Br, from Alexandria.

For the calculated density, the calculation gives 4.33 g cm⁻³. The polymorph energy (0 for the lowest one) comes out at 639 meV/atom. As for the crystal system: cubic. As for the total magnetization: 15.5 Bohr magnetons per cell. The value obtained for the uncorrected formation energy is 0.74 eV/atom.

Cell: 6.609 6.609 6.609 Å, 90.00 90.00 90.00°
Space group F-43m (No. 216)
Symmetry-distinct sites (fractional):
Cr (0.000, 0.000, 0.000) [4 per cell]
Si (0.000, 0.000, 0.500) [4 per cell]
Si (0.250, 0.250, 0.250) [4 per cell]
Br (0.250, 0.250, 0.750) [4 per cell]

Record 4
The following is a PBE calculation of an optimized crystal structure of CrSiBr2, from Alexandria.

For the calculated density, the calculation gives 3.64 g cm⁻³. The polymorph energy (0 for the lowest one) comes out at 305 meV/atom. As for the crystal system: monoclinic. As for the total magnetization: 7.7 Bohr magnetons per cell. The value obtained for the uncorrected formation energy is 0.23 eV/atom.

Cell: 15.717 3.319 4.252 Å, 90.00 99.77 90.00°
Space group Cm (No. 8)
Symmetry-distinct sites (fractional):
Cr (0.000, 0.000, 0.000) [2 per cell]
Si (0.129, 0.500, 0.176) [2 per cell]
Br (0.194, 0.000, 0.810) [2 per cell]
Br (0.447, 0.000, 0.499) [2 per cell]